Here is a geometry-optimized Sm7Tm2Th2 structure from Alexandria. Energies are from PBE.

Properties
The value obtained for the formation energy is 0.19 eV per atom. The electronic total energy is -0.1829 hartree per atom. For the total magnetization, the calculation gives 0.00 μB/f.u. The calculation puts the calculated volume at 368.07 Å³ per cell. The energy above the lowest structure with this stoichiometry is 13 meV per atom.

Unit cell a=8.7040 b=6.0373 c=8.7040 alpha=64.00 beta=96.99 gamma=116.00
Element x y z (fractional)
Sm 0.4230 0.6465 0.5770
Sm 0.5907 0.8145 0.9501
Sm 0.0499 0.8145 0.4093
Sm 0.0000 0.0000 0.0000
Sm 0.9501 0.1855 0.5907
Sm 0.5770 0.3535 0.4230
Sm 0.4093 0.1855 0.0499
Tm 0.2288 0.8644 0.7712
Tm 0.7712 0.1356 0.2288
Th 0.7879 0.5000 0.7879
Th 0.2121 0.5000 0.2121